1.
A relaxed structure of LiAcAg2, computed with PBE.

Values from the calculation:
**VASP energy**: -3.093 eV per atom
**Energy relative to the elements**: -0.1613 eV per atom
**Density of states at the Fermi level**: 2.24 states/eV/cell
**SG**: P4/mmm, No. 123

Cell lengths 3.648, 3.648, 7.230 Å; angles 90.00, 90.00, 90.00 degrees
Element x y z (fractional)
Ac: 0.500 0.500 0.500
Ag: 0.000 0.000 0.805
Ag: 0.000 0.000 0.195
Li: 0.500 0.500 0.000


2.
A relaxed structure of Er4ZnCd, computed with PBE.

Values from the calculation:
**VASP energy**: -3.605 eV per atom
**Energy relative to the elements**: -0.1982 eV per atom
**Density of states at the Fermi level**: 8.18 states/eV/cell
**SG**: P4/mmm, No. 123

Cell lengths 3.532, 3.532, 12.656 Å; angles 90.01, 90.01, 90.00 degrees
Last column: magnetic moment on the atom in μB.
Element x y z (fractional)
Er: 0.500 0.500 0.861  0.20
Er: 0.500 0.500 0.139  0.20
Er: 0.000 0.000 0.665  0.28
Er: 0.000 0.000 0.335  0.28
Zn: 0.000 0.000 0.000  0.00
Cd: 0.500 0.500 0.500  0.01